4
Lattice="-1.345 3.933 -2.016 -3.363 0.543 3.120 4.382 -0.572 1.344" Properties=species:S:1:pos:R:3 comment="PBE-GGA ZrInCu2, optimized geometry" formation_enthalpy_0k_ev_per_atom=-0.011 dos_at_fermi_per_ev_atom=0.42 magmom_total_mub_per_atom=0.000 spacegroup="I-4m2, No. 119" pbc="T T T"
In -2.354 2.238 0.552
Zr 0.342 2.799 -0.060
Cu -0.667 1.104 2.508
Cu 0.000 0.000 0.000